No. 1
{
  "formula": "CdFe2Br2",
  "functional": "PBE",
  "state": "optimized geometry",
  "lattice": [[4.317, 0.000, 0.000], [0.000, 4.317, 0.000], [0.000, 0.000, 10.096]],
  "species": ["Cd", "Cd", "Fe", "Fe", "Fe", "Fe", "Br", "Br", "Br", "Br"],
  "frac_coords": [[0.000, 0.000, 0.000], [0.500, 0.500, 0.500], [0.000, 0.000, 0.395], [0.000, 0.000, 0.605], [0.500, 0.500, 0.105], [0.500, 0.500, 0.895], [0.000, 0.500, 0.250], [0.000, 0.500, 0.750], [0.500, 0.000, 0.250], [0.500, 0.000, 0.750]],
  "space_group": "I4/mmm, No. 139",
  "e_above_lowest_polymorph_ev_per_atom": 0.3434,
  "formation_energy_uncorrected_mev_per_atom": 793
}


No. 2
{
  "formula": "CeNbGe2Ru",
  "functional": "PBE",
  "state": "optimized geometry",
  "lattice": [[4.094, 0.000, 0.000], [0.000, 4.094, 0.000], [0.000, 0.000, 11.496]],
  "species": ["Ce", "Ce", "Nb", "Nb", "Ge", "Ge", "Ge", "Ge", "Ru", "Ru"],
  "frac_coords": [[0.000, 0.000, 0.000], [0.500, 0.500, 0.500], [0.000, 0.500, 0.750], [0.500, 0.000, 0.250], [0.000, 0.000, 0.389], [0.000, 0.000, 0.611], [0.500, 0.500, 0.111], [0.500, 0.500, 0.889], [0.000, 0.500, 0.250], [0.500, 0.000, 0.750]],
  "space_group": "I-4m2, No. 119",
  "formation_energy_ev_per_fu": -2.64
}


No. 3
{
  "formula": "Sc3ZnN",
  "functional": "PBE",
  "state": "optimized geometry",
  "lattice": [[3.125, -6.262, 0.000], [3.125, 6.262, 0.000], [0.000, 0.000, 4.409]],
  "species": ["Sc", "Sc", "Sc", "Sc", "Sc", "Sc", "Zn", "Zn", "N", "N"],
  "frac_coords": [[0.000, 0.500, 0.500], [0.135, 0.865, 0.000], [0.246, 0.246, 0.500], [0.500, 0.000, 0.500], [0.754, 0.754, 0.500], [0.865, 0.135, 0.000], [0.378, 0.622, 0.000], [0.622, 0.378, 0.000], [0.129, 0.871, 0.500], [0.871, 0.129, 0.500]],
  "space_group": "Cmmm, No. 65",
  "formation_energy_uncorrected_mev_per_atom": -923
}


No. 4
{
  "formula": "Tm2Si2Ag",
  "functional": "PBE",
  "state": "optimized geometry",
  "lattice": [[6.911, 0.000, 0.000], [0.000, 6.911, 0.000], [0.000, 0.000, 4.211]],
  "species": ["Tm", "Tm", "Tm", "Tm", "Si", "Si", "Si", "Si", "Ag", "Ag"],
  "frac_coords": [[0.176, 0.324, 0.000], [0.324, 0.824, 0.000], [0.676, 0.176, 0.000], [0.824, 0.676, 0.000], [0.122, 0.622, 0.500], [0.378, 0.122, 0.500], [0.622, 0.878, 0.500], [0.878, 0.378, 0.500], [0.000, 0.000, 0.500], [0.500, 0.500, 0.500]],
  "space_group": "P4/mbm, No. 127",
  "formation_energy_uncorrected_mev_per_atom": -661
}


No. 5
{
  "formula": "Pu2Co7",
  "functional": "PBE",
  "state": "optimized geometry",
  "lattice": [[2.443, 1.411, 12.123], [-2.443, 1.411, 12.123], [0.000, -2.821, 12.123]],
  "species": ["Pu", "Pu", "Pu", "Pu", "Co", "Co", "Co", "Co", "Co", "Co", "Co", "Co", "Co", "Co", "Co", "Co", "Co", "Co"],
  "frac_coords": [[0.051, 0.051, 0.051], [0.148, 0.148, 0.148], [0.852, 0.852, 0.852], [0.949, 0.949, 0.949], [0.000, 0.500, 0.500], [0.109, 0.610, 0.610], [0.278, 0.278, 0.278], [0.388, 0.388, 0.388], [0.390, 0.390, 0.891], [0.390, 0.891, 0.390], [0.500, 0.000, 0.500], [0.500, 0.500, 0.000], [0.500, 0.500, 0.500], [0.610, 0.109, 0.610], [0.610, 0.610, 0.109], [0.612, 0.612, 0.612], [0.722, 0.722, 0.722], [0.891, 0.390, 0.390]],
  "space_group": "R-3m, No. 166",
  "formation_energy_ev_per_fu": -1.04
}